Density functional theory data (GGA-PBEsol) for a geometry-optimized HfCrSN2 structure.

Calculated values
formation energy without anion corrections	-225.1	meV per atom
calculated density	8.02	g/cm3
SG	P4/mmm
total moment	0.001	μB/f.u.
D(E_F)	0.536	states/eV/atom

Lattice parameters (Å, degrees): 3.658 3.658 4.499 90.00 90.00 90.00
Atoms (fractional coordinates):
N (0.500, 0.000, 0.000)
N (0.000, 0.500, 0.000)
Hf (0.500, 0.500, 0.500)
S (0.000, 0.000, 0.500)
Cr (0.000, 0.000, 0.000)